# 1
Computed, not measured: a relaxed Tb3NdSm3Te8 crystal at the PBE-GGA level of DFT.

Cell lengths 8.7916, 8.7916, 8.7916 Å; angles 59.98, 59.98, 59.98 degrees
Fractional coordinates of all 15 atoms:
Tb  0.0000  0.5000  0.5000
Tb  0.5000  0.0000  0.5000
Tb  0.5000  0.5000  0.0000
Nd  0.0000  0.0000  0.0000
Sm  0.0000  0.0000  0.5000
Sm  0.0000  0.5000  0.0000
Sm  0.5000  0.0000  0.0000
Te  0.2519  0.2519  0.2519
Te  0.2594  0.2594  0.7368
Te  0.2594  0.7368  0.2594
Te  0.2632  0.7406  0.7406
Te  0.7368  0.2594  0.2594
Te  0.7406  0.2632  0.7406
Te  0.7406  0.7406  0.2632
Te  0.7481  0.7481  0.7481

Results
Uncorrected formation energy (eV per atom): -1.4158
Total magnetization (μB/atom): 0.000
Energy (eV per atom): -5.28


# 2
Computed, not measured: a relaxed TbNd2SmTe5 crystal at the PBE-GGA level of DFT.

Cell lengths 5.5586, 5.5586, 11.7418 Å; angles 90.00, 90.00, 90.00 degrees
Fractional coordinates of all 9 atoms:
Tb  0.0000  0.0000  0.0000
Nd  0.5000  0.5000  0.1581
Nd  0.5000  0.5000  0.8419
Sm  0.0000  0.0000  0.5000
Te  0.0000  0.0000  0.2523
Te  0.0000  0.0000  0.7477
Te  0.0000  0.5000  0.0000
Te  0.5000  0.0000  0.0000
Te  0.5000  0.5000  0.5000

Results
Uncorrected formation energy (eV per atom): -0.8100
Total magnetization (μB/atom): 0.069
Energy (eV per atom): -4.65


# 3
Computed, not measured: a relaxed Tb3Nd2SmTe6 crystal at the PBE-GGA level of DFT.

Cell lengths 9.9157, 9.9157, 8.9230 Å; angles 103.59, 103.59, 25.60 degrees
Fractional coordinates of all 12 atoms:
Tb  0.0000  0.0000  0.0000
Tb  0.3319  0.3319  0.6662
Tb  0.6681  0.6681  0.3338
Nd  0.3327  0.3327  0.1653
Nd  0.6673  0.6673  0.8347
Sm  0.0000  0.0000  0.5000
Te  0.1640  0.1640  0.0895
Te  0.1673  0.1673  0.5769
Te  0.4973  0.4973  0.7527
Te  0.5027  0.5027  0.2473
Te  0.8327  0.8327  0.4231
Te  0.8360  0.8360  0.9105

Results
Uncorrected formation energy (eV per atom): -1.3623
Total magnetization (μB/atom): 0.000
Energy (eV per atom): -5.28


# 4
Computed, not measured: a relaxed TbNd3Sm3Te8 crystal at the PBE-GGA level of DFT.

Cell lengths 8.9102, 8.9102, 8.9102 Å; angles 59.88, 59.88, 59.88 degrees
Fractional coordinates of all 15 atoms:
Tb  0.0000  0.0000  0.0000
Nd  0.0000  0.0000  0.5000
Nd  0.0000  0.5000  0.0000
Nd  0.5000  0.0000  0.0000
Sm  0.0000  0.5000  0.5000
Sm  0.5000  0.0000  0.5000
Sm  0.5000  0.5000  0.0000
Te  0.2514  0.2514  0.2514
Te  0.2514  0.2514  0.7458
Te  0.2514  0.7458  0.2514
Te  0.2542  0.7486  0.7486
Te  0.7458  0.2514  0.2514
Te  0.7486  0.2542  0.7486
Te  0.7486  0.7486  0.2542
Te  0.7486  0.7486  0.7486

Results
Uncorrected formation energy (eV per atom): -1.4399
Total magnetization (μB/atom): 0.000
Energy (eV per atom): -5.32


# 5
Computed, not measured: a relaxed TbNdSm2Te6 crystal at the PBE-GGA level of DFT.

Cell lengths 8.4513, 8.4513, 8.4513 Å; angles 55.38, 55.38, 55.38 degrees
Fractional coordinates of all 10 atoms:
Tb  0.0000  0.0000  0.0000
Nd  0.5020  0.5020  0.5020
Sm  0.3126  0.3126  0.3126
Sm  0.8110  0.8110  0.8110
Te  0.0947  0.4008  0.7224
Te  0.2124  0.9105  0.5988
Te  0.4008  0.7224  0.0947
Te  0.5988  0.2124  0.9105
Te  0.7224  0.0947  0.4008
Te  0.9105  0.5988  0.2124

Results
Uncorrected formation energy (eV per atom): -1.3758
Total magnetization (μB/atom): 0.000
Energy (eV per atom): -5.14


# 6
Computed, not measured: a relaxed Tb2NdSmTe6 crystal at the PBE-GGA level of DFT.

Cell lengths 8.4126, 8.4126, 8.4126 Å; angles 55.42, 55.42, 55.42 degrees
Fractional coordinates of all 10 atoms:
Tb  0.0000  0.0000  0.0000
Tb  0.4992  0.4992  0.4992
Nd  0.1891  0.1891  0.1891
Sm  0.6879  0.6879  0.6879
Te  0.1008  0.7743  0.3985
Te  0.2755  0.6056  0.8937
Te  0.3985  0.1008  0.7743
Te  0.6056  0.8937  0.2755
Te  0.7743  0.3985  0.1008
Te  0.8937  0.2755  0.6056

Results
Uncorrected formation energy (eV per atom): -1.3741
Total magnetization (μB/atom): 0.000
Energy (eV per atom): -5.13


# 7
Computed, not measured: a relaxed TbNd2SmTe6 crystal at the PBE-GGA level of DFT.

Cell lengths 8.4632, 8.4632, 8.4632 Å; angles 55.53, 55.53, 55.53 degrees
Fractional coordinates of all 10 atoms:
Tb  0.0000  0.0000  0.0000
Nd  0.3108  0.3108  0.3108
Nd  0.8099  0.8099  0.8099
Sm  0.5010  0.5010  0.5010
Te  0.1027  0.3944  0.7255
Te  0.2199  0.8998  0.6052
Te  0.3944  0.7255  0.1027
Te  0.6052  0.2199  0.8998
Te  0.7255  0.1027  0.3944
Te  0.8998  0.6052  0.2199

Results
Uncorrected formation energy (eV per atom): -1.3773
Total magnetization (μB/atom): 0.000
Energy (eV per atom): -5.15


# 8
Computed, not measured: a relaxed Tb3Nd3SmTe8 crystal at the PBE-GGA level of DFT.

Cell lengths 8.8518, 8.8518, 8.8518 Å; angles 59.79, 59.79, 59.79 degrees
Fractional coordinates of all 15 atoms:
Tb  0.0000  0.5000  0.5000
Tb  0.5000  0.0000  0.5000
Tb  0.5000  0.5000  0.0000
Nd  0.0000  0.0000  0.5000
Nd  0.0000  0.5000  0.0000
Nd  0.5000  0.0000  0.0000
Sm  0.0000  0.0000  0.0000
Te  0.2533  0.2533  0.2533
Te  0.2560  0.2560  0.7374
Te  0.2560  0.7374  0.2560
Te  0.2626  0.7440  0.7440
Te  0.7374  0.2560  0.2560
Te  0.7440  0.2626  0.7440
Te  0.7440  0.7440  0.2626
Te  0.7467  0.7467  0.7467

Results
Uncorrected formation energy (eV per atom): -1.4257
Total magnetization (μB/atom): 0.000
Energy (eV per atom): -5.30


# 9
Computed, not measured: a relaxed Tb3NdSm2Te6 crystal at the PBE-GGA level of DFT.

Cell lengths 9.8882, 9.8882, 8.8968 Å; angles 103.41, 103.41, 25.64 degrees
Fractional coordinates of all 12 atoms:
Tb  0.0000  0.0000  0.0000
Tb  0.3348  0.3348  0.6672
Tb  0.6652  0.6652  0.3328
Nd  0.0000  0.0000  0.5000
Sm  0.3341  0.3341  0.1682
Sm  0.6659  0.6659  0.8318
Te  0.1657  0.1657  0.0864
Te  0.1697  0.1697  0.5803
Te  0.4990  0.4990  0.7566
Te  0.5010  0.5010  0.2434
Te  0.8303  0.8303  0.4197
Te  0.8343  0.8343  0.9136

Results
Uncorrected formation energy (eV per atom): -1.3550
Total magnetization (μB/atom): 0.000
Energy (eV per atom): -5.27


# 10
Computed, not measured: a relaxed Tb3Nd4SmTe8 crystal at the PBE-GGA level of DFT.

Cell lengths 8.9437, 8.9437, 8.9437 Å; angles 59.23, 59.23, 59.23 degrees
Fractional coordinates of all 16 atoms:
Tb  0.0000  0.5000  0.5000
Tb  0.5000  0.0000  0.5000
Tb  0.5000  0.5000  0.0000
Nd  0.0000  0.0000  0.5000
Nd  0.0000  0.5000  0.0000
Nd  0.5000  0.0000  0.0000
Nd  0.5000  0.5000  0.5000
Sm  0.0000  0.0000  0.0000
Te  0.2485  0.2485  0.7442
Te  0.2485  0.7442  0.2485
Te  0.2536  0.2536  0.2536
Te  0.2558  0.7515  0.7515
Te  0.7442  0.2485  0.2485
Te  0.7464  0.7464  0.7464
Te  0.7515  0.2558  0.7515
Te  0.7515  0.7515  0.2558

Results
Uncorrected formation energy (eV per atom): -1.3734
Total magnetization (μB/atom): 0.000
Energy (eV per atom): -5.30


# 11
Computed, not measured: a relaxed Tb2Nd3SmTe6 crystal at the PBE-GGA level of DFT.

Cell lengths 9.9566, 9.9566, 8.9592 Å; angles 103.38, 103.38, 25.64 degrees
Fractional coordinates of all 12 atoms:
Tb  0.1656  0.1656  0.3311
Tb  0.8344  0.8344  0.6689
Nd  0.1643  0.1643  0.8325
Nd  0.5000  0.5000  0.5000
Nd  0.8357  0.8357  0.1675
Sm  0.5000  0.5000  0.0000
Te  0.0031  0.0031  0.2487
Te  0.3305  0.3305  0.4229
Te  0.3331  0.3331  0.9101
Te  0.6669  0.6669  0.0899
Te  0.6695  0.6695  0.5771
Te  0.9969  0.9969  0.7513

Results
Uncorrected formation energy (eV per atom): -1.3808
Total magnetization (μB/atom): 0.000
Energy (eV per atom): -5.31


# 12
Computed, not measured: a relaxed Tb2NdSm5Th crystal at the PBE-GGA level of DFT.

Cell lengths 10.5737, 10.5737, 10.5416 Å; angles 90.00, 90.00, 148.70 degrees
Fractional coordinates of all 18 atoms:
Tb  0.1140  0.8860  0.5000
Tb  0.1155  0.8845  0.0872
Tb  0.8845  0.1155  0.5872
Tb  0.8860  0.1140  0.0000
Nd  0.4109  0.5891  0.2152
Nd  0.5891  0.4109  0.7152
Sm  0.0160  0.9840  0.7900
Sm  0.2765  0.7235  0.0827
Sm  0.2949  0.7051  0.4734
Sm  0.3885  0.6115  0.7941
Sm  0.4776  0.5224  0.5073
Sm  0.5224  0.4776  0.0073
Sm  0.6115  0.3885  0.2941
Sm  0.7051  0.2949  0.9734
Sm  0.7235  0.2765  0.5827
Sm  0.9840  0.0160  0.2900
Th  0.1994  0.8006  0.7810
Th  0.8006  0.1994  0.2810

Results
Calculated formation energy (eV per atom): 0.1601
Total magnetization (μB/atom): 0.000
Energy (eV per atom): -4.84


# 13
Computed, not measured: a relaxed Tb6Nd3SmTh2 crystal at the PBE-GGA level of DFT.

Cell lengths 6.2468, 6.2468, 11.8469 Å; angles 95.05, 95.05, 119.96 degrees
Fractional coordinates of all 12 atoms:
Tb  0.0801  0.4182  0.7551
Tb  0.2438  0.2438  0.2453
Tb  0.4182  0.0801  0.7551
Tb  0.5818  0.9199  0.2449
Tb  0.7562  0.7562  0.7547
Tb  0.9199  0.5818  0.2449
Nd  0.0000  0.0000  0.5000
Nd  0.3336  0.6664  0.5000
Nd  0.6664  0.3336  0.5000
Sm  0.5000  0.5000  0.0000
Th  0.1666  0.8334  0.0000
Th  0.8334  0.1666  0.0000

Results
Calculated formation energy (eV per atom): 0.0226
Total magnetization (μB/atom): 0.000
Energy (eV per atom): -5.11


# 14
Computed, not measured: a relaxed Tb3NdSm6Th2 crystal at the PBE-GGA level of DFT.

Cell lengths 6.2509, 6.2509, 11.9709 Å; angles 95.01, 95.01, 119.92 degrees
Fractional coordinates of all 12 atoms:
Tb  0.0000  0.0000  0.0000
Tb  0.3334  0.6666  0.0000
Tb  0.6666  0.3334  0.0000
Nd  0.5000  0.5000  0.5000
Sm  0.0785  0.4168  0.2516
Sm  0.2450  0.2450  0.7487
Sm  0.4168  0.0785  0.2516
Sm  0.5832  0.9215  0.7484
Sm  0.7550  0.7550  0.2513
Sm  0.9215  0.5832  0.7484
Th  0.1666  0.8334  0.5000
Th  0.8334  0.1666  0.5000

Results
Calculated formation energy (eV per atom): 0.0370
Total magnetization (μB/atom): 0.000
Energy (eV per atom): -5.11


# 15
Computed, not measured: a relaxed TbNd4Sm2Th crystal at the PBE-GGA level of DFT.

Cell lengths 6.0922, 6.1026, 7.3214 Å; angles 90.00, 90.13, 90.00 degrees
Fractional coordinates of all 8 atoms:
Tb  0.0000  0.0000  0.0000
Nd  0.0001  0.5000  0.2544
Nd  0.9999  0.5000  0.7456
Nd  0.4999  0.0000  0.2545
Nd  0.5001  0.0000  0.7455
Sm  0.0000  0.0000  0.5000
Sm  0.5000  0.5000  0.0000
Th  0.5000  0.5000  0.5000

Results
Calculated formation energy (eV per atom): 0.1340
Total magnetization (μB/atom): 0.000
Energy (eV per atom): -4.94


# 16
Computed, not measured: a relaxed TbNd2SmTh crystal at the PBE-GGA level of DFT.

Cell lengths 6.3990, 8.4968, 6.6163 Å; angles 90.00, 103.33, 90.00 degrees
Fractional coordinates of all 10 atoms:
Tb  0.0000  0.1624  0.2500
Tb  0.0000  0.8376  0.7500
Nd  0.2820  0.1723  0.8389
Nd  0.2820  0.8277  0.3389
Nd  0.7180  0.1723  0.6611
Nd  0.7180  0.8277  0.1611
Sm  0.5000  0.4076  0.2500
Sm  0.5000  0.5924  0.7500
Th  0.0000  0.5000  0.0000
Th  0.0000  0.5000  0.5000

Results
Calculated formation energy (eV per atom): 0.2470
Total magnetization (μB/atom): 0.000
Energy (eV per atom): -5.01


# 17
Computed, not measured: a relaxed TbNd6Sm2Th crystal at the PBE-GGA level of DFT.

Cell lengths 8.8824, 8.8824, 9.9804 Å; angles 94.94, 94.94, 116.91 degrees
Fractional coordinates of all 20 atoms:
Tb  0.0935  0.9065  0.7500
Tb  0.9065  0.0935  0.2500
Nd  0.0064  0.7991  0.3795
Nd  0.0771  0.5133  0.1877
Nd  0.2009  0.9936  0.1205
Nd  0.2491  0.6103  0.5556
Nd  0.3897  0.7509  0.9444
Nd  0.4867  0.9229  0.3123
Nd  0.5133  0.0771  0.6877
Nd  0.6103  0.2491  0.0556
Nd  0.7509  0.3897  0.4444
Nd  0.7991  0.0064  0.8795
Nd  0.9229  0.4867  0.8123
Nd  0.9936  0.2009  0.6205
Sm  0.2140  0.3050  0.9534
Sm  0.3050  0.2140  0.4534
Sm  0.6950  0.7860  0.5466
Sm  0.7860  0.6950  0.0466
Th  0.4787  0.5213  0.2500
Th  0.5213  0.4787  0.7500

Results
Calculated formation energy (eV per atom): 0.1431
Total magnetization (μB/atom): 0.000
Energy (eV per atom): -4.87


# 18
Computed, not measured: a relaxed Tb2Nd5SmTh crystal at the PBE-GGA level of DFT.

Cell lengths 10.6787, 10.6787, 10.6143 Å; angles 90.00, 90.00, 148.91 degrees
Fractional coordinates of all 18 atoms:
Tb  0.1134  0.8866  0.5000
Tb  0.1164  0.8836  0.0820
Tb  0.8836  0.1164  0.5820
Tb  0.8866  0.1134  0.0000
Nd  0.0153  0.9847  0.7858
Nd  0.2767  0.7233  0.0786
Nd  0.2933  0.7067  0.4690
Nd  0.3877  0.6123  0.7916
Nd  0.4791  0.5209  0.5081
Nd  0.5209  0.4791  0.0081
Nd  0.6123  0.3877  0.2916
Nd  0.7067  0.2933  0.9690
Nd  0.7233  0.2767  0.5786
Nd  0.9847  0.0153  0.2858
Sm  0.4081  0.5919  0.2173
Sm  0.5919  0.4081  0.7173
Th  0.1991  0.8009  0.7769
Th  0.8009  0.1991  0.2769

Results
Calculated formation energy (eV per atom): 0.1559
Total magnetization (μB/atom): 0.000
Energy (eV per atom): -4.87


# 19
Computed, not measured: a relaxed TbNdSm2Th crystal at the PBE-GGA level of DFT.

Cell lengths 6.3479, 8.1759, 6.7573 Å; angles 90.00, 90.00, 90.00 degrees
Fractional coordinates of all 10 atoms:
Tb  0.0000  0.0000  0.0000
Tb  0.5000  0.0000  0.0000
Nd  0.2500  0.5000  0.1763
Nd  0.7500  0.5000  0.8237
Sm  0.2500  0.2994  0.7055
Sm  0.2500  0.7006  0.7055
Sm  0.7500  0.2994  0.2945
Sm  0.7500  0.7006  0.2945
Th  0.2500  0.0000  0.4237
Th  0.7500  0.0000  0.5763

Results
Calculated formation energy (eV per atom): 0.2963
Total magnetization (μB/atom): 0.000
Energy (eV per atom): -4.95


# 20
Computed, not measured: a relaxed Tb4Nd2SmTh crystal at the PBE-GGA level of DFT.

Cell lengths 5.1064, 5.1246, 10.0966 Å; angles 90.00, 90.00, 90.00 degrees
Fractional coordinates of all 8 atoms:
Tb  0.0000  0.0000  0.2454
Tb  0.0000  0.0000  0.7546
Tb  0.5000  0.5000  0.2456
Tb  0.5000  0.5000  0.7544
Nd  0.0000  0.5000  0.5000
Nd  0.5000  0.0000  0.0000
Sm  0.5000  0.0000  0.5000
Th  0.0000  0.5000  0.0000

Results
Calculated formation energy (eV per atom): 0.0300
Total magnetization (μB/atom): 0.000
Energy (eV per atom): -4.99